PBE NdIrRu, relaxed; DFT formation energy = -77.5 meV per atom; SG = C2/m, No. 12; volume = 236 Å³ per cell; energy relative to the lowest polymorph listed for this composition = 353 meV/atom
1.0
8.710 0.000 0.000
0.000 5.647 0.000
-1.535 0.000 4.794
Nd Ir Ru
4 4 4
Cartesian
0.569 0.000 1.760 Nd
2.251 2.824 3.034 Nd
4.924 2.824 1.760 Nd
6.606 0.000 3.034 Nd
2.178 1.412 0.000 Ir
2.178 4.235 0.000 Ir
6.533 1.412 0.000 Ir
6.533 4.235 0.000 Ir
-0.338 2.824 1.278 Ru
3.158 0.000 3.516 Ru
4.017 0.000 1.278 Ru
7.513 2.824 3.516 Ru